(1)
Below is an optimized crystal structure of NaMg2F4, with properties calculated at the PBE-GGA level.

a b c (Å): 3.283 10.709 10.478
angles (deg): 90.00 90.00 90.00
Space group Cmcm (No. 63)
Unique sites:
1 Na 0.000 0.093 0.250 (multiplicity 4)
2 Mg 0.000 0.366 0.068 (multiplicity 8)
3 F 0.000 0.000 0.000 (multiplicity 4)
4 F 0.000 0.250 0.600 (multiplicity 8)
5 F 0.000 0.429 0.250 (multiplicity 4)

Values from the calculation:
Uncorrected formation energy   -19.66 eV/f.u.

=====

(2)
Below is an optimized crystal structure of Hf4Al2Sb, with properties calculated at the PBE-GGA level.

a b c (Å): 5.241 5.241 13.359
angles (deg): 90.00 90.00 90.00
Space group I4/mmm (No. 139)
Unique sites:
1 Hf 0.000 0.000 0.204 (multiplicity 4)
2 Hf 0.000 0.500 0.000 (multiplicity 4)
3 Al 0.000 0.000 0.406 (multiplicity 4)
4 Sb 0.000 0.000 0.000 (multiplicity 2)

Values from the calculation:
Uncorrected formation energy   5.21 eV/f.u.

=====

(3)
Below is an optimized crystal structure of ReBPb2, with properties calculated at the PBE-GGA level.

a b c (Å): 7.149 7.149 6.395
angles (deg): 90.00 90.00 90.00
Space group I-42d (No. 122)
Unique sites:
1 Re 0.000 0.000 0.000 (multiplicity 4)
2 B 0.000 0.000 0.500 (multiplicity 4)
3 Pb 0.198 0.250 0.625 (multiplicity 8)

Values from the calculation:
ΔH_f (0 K)   1.648 eV per atom

=====

(4)
Below is an optimized crystal structure of Ag2AuI8, with properties calculated at the PBE-GGA level.

a b c (Å): 12.206 11.681 7.747
angles (deg): 90.00 106.72 90.00
Space group C2/m (No. 12)
Unique sites:
1 Ag 0.204 0.000 0.176 (multiplicity 4)
2 Au 0.000 0.000 0.500 (multiplicity 2)
3 I 0.047 0.500 0.692 (multiplicity 4)
4 I 0.084 0.162 0.330 (multiplicity 8)
5 I 0.204 0.500 0.108 (multiplicity 4)

Values from the calculation:
Uncorrected formation energy   -0.30 eV/f.u.

=====

(5)
Below is an optimized crystal structure of SrLa, with properties calculated at the PBE-GGA level.

a b c (Å): 11.352 11.352 11.352
angles (deg): 90.00 90.00 90.00
Space group I-43m (No. 217)
Unique sites:
1 Sr 0.208 0.208 0.208 (multiplicity 8)
2 La 0.097 0.097 0.903 (multiplicity 8)

Values from the calculation:
Energy relative to the lowest polymorph listed for this composition   872.7 meV/atom
ΔH_f (0 K)   0.934 eV per atom

=====

(6)
Below is an optimized crystal structure of RbTl2SbI6, with properties calculated at the PBE-GGA level.

a b c (Å): 8.7300 8.7300 22.8474
angles (deg): 90.00 90.00 120.00
Space group R3 (No. 146, hexagonal axes)
Unique sites:
1 Rb 0.0000 0.0000 0.0000 (multiplicity 3)
2 Tl 0.0000 0.0000 0.2925 (multiplicity 3)
3 Tl 0.0000 0.0000 0.8078 (multiplicity 3)
4 Sb 0.0000 0.0000 0.4880 (multiplicity 3)
5 I 0.0092 0.7279 0.4056 (multiplicity 9)
6 I 0.0196 0.3009 0.5628 (multiplicity 9)

Values from the calculation:
Uncorrected formation energy   -6.84 eV/f.u.

=====

(7)
Below is an optimized crystal structure of EuY2Mn, with properties calculated at the PBE-GGA level.

a b c (Å): 3.523 3.523 9.444
angles (deg): 90.00 90.00 90.00
Space group P4/mmm (No. 123)
Unique sites:
1 Eu 0.000 0.000 0.000 (multiplicity 1)
2 Y 0.500 0.500 0.317 (multiplicity 2)
3 Mn 0.000 0.000 0.500 (multiplicity 1)

Values from the calculation:
ΔH_f (0 K)   0.150 eV per atom

=====

(8)
Below is an optimized crystal structure of RbSbS2, with properties calculated at the PBE-GGA level.

a b c (Å): 7.345 7.345 11.429
angles (deg): 90.00 90.00 90.00
Space group I-42d (No. 122)
Unique sites:
1 Rb 0.000 0.000 0.000 (multiplicity 4)
2 Sb 0.000 0.000 0.500 (multiplicity 4)
3 S 0.167 0.250 0.625 (multiplicity 8)

Values from the calculation:
Uncorrected formation energy   -2.14 eV/f.u.

=====

Number 1: magnetization 0.00 μB per cell. Number 2: magnetization 0.00 μB per cell. Number 3: magnetization 8.70 μB per cell. Number 4: magnetization 0.00 μB per cell. Number 5: magnetization 8.14 μB per cell. Number 6: magnetization 0.00 μB per cell. Number 7: magnetization 5.25 μB per cell. Number 8: magnetization 0.00 μB per cell.